(1)
# HfV2Br

HfV2Br after structural relaxation (PBE, Alexandria via LeMat-Bulk).

Geometry as extended XYZ:
```
4
Lattice="0.0000 3.2259 3.2259 3.2259 0.0000 3.2259 3.2259 3.2259 0.0000" Properties=species:S:1:pos:R:3 pbc="T T T"
Hf 3.2259 3.2259 3.2259
Br 0.0000 0.0000 0.0000
V 1.6130 1.6130 1.6130
V 4.8389 4.8389 4.8389
```

The calculated total energy comes out at -6.673 eV/atom. The uncorrected formation energy comes out at 0.79 eV/atom.

(2)
# Hf2VBr

Hf2VBr after structural relaxation (PBE, Alexandria via LeMat-Bulk).

Geometry as extended XYZ:
```
4
Lattice="-4.5767 -0.1817 -1.4126 -3.3136 2.6182 2.2670 -1.9837 3.7737 -2.1906" Properties=species:S:1:pos:R:3 pbc="T T T"
Hf -2.4685 1.5526 -0.3340
Hf -7.4055 4.6577 -1.0021
Br -4.9370 3.1051 -0.6681
V 0.0000 0.0000 0.0000
```

The calculated total energy comes out at -7.153 eV/atom. The uncorrected formation energy comes out at 0.52 eV/atom.

Number 1: energy above the lowest structure with this stoichiometry 97.6 meV/atom. Number 2: energy above the lowest structure with this stoichiometry 0.0 meV/atom.